# 1
{"formula": "Ba2LaBr", "functional": "PBEsol", "state": "relaxed", "lattice_angstrom": [[-5.482, 2.292, -1.585], [-2.311, -1.140, -5.583], [-4.837, -3.747, -0.619]], "species": ["Ba", "Ba", "Br", "La"], "fractional_positions": [[0.250, 0.250, 0.250], [0.750, 0.750, 0.750], [0.000, 0.000, 0.000], [0.500, 0.500, 0.500]], "density_g_cm3": 5.0, "formation_energy_uncorrected_ev_per_atom": -0.067, "e_above_lowest_polymorph_mev_per_atom": 412, "dos_at_fermi_per_ev_cell": 6.14, "volume_a3_per_cell": 164.43, "energy_ev_per_cell": -11.78, "magmom_total_mub_per_fu": 4.6}



# 2
{"formula": "ZrNiW2", "functional": "PBEsol", "state": "relaxed", "lattice_angstrom": [[-1.397, -0.454, 3.507], [-2.159, -2.877, -1.232], [5.024, -1.166, -0.211]], "species": ["Ni", "W", "W", "Zr"], "fractional_positions": [[0.000, 0.000, 0.000], [0.750, 0.250, 0.500], [0.250, 0.750, 0.500], [0.500, 0.500, 0.000]], "density_g_cm3": 13.5, "formation_energy_ev_per_atom": 0.24, "e_above_lowest_polymorph_mev_per_atom": 162, "dos_at_fermi_per_ev_cell": 4.68, "volume_a3_per_cell": 63.69, "energy_ev_per_cell": -41.91, "magmom_total_mub_per_fu": 0.0}